1.
This record from Alexandria describes LiErU2P4 after structural relaxation. The functional is PBE.

Cell: 6.7765 3.9554 6.8282 Å, 90.00 109.64 90.00°
Last column: nearest neighbours and their distance in Å.
Fractional coordinates of all 8 atoms:
Li 0.0000 0.0000 0.0000  6 P 2.79-2.83
Er 0.0000 0.5000 0.5000  6 P 2.80-2.82
U 0.5000 0.0000 0.5000  6 P 2.74-2.77
U 0.5000 0.5000 0.0000  6 P 2.74-2.77
P 0.2546 0.0000 0.7519  3 U 2.77, 1 Li 2.79, 2 Er 2.80
P 0.2623 0.5000 0.2557  3 U 2.74, 1 Er 2.82, 2 Li 2.83
P 0.7377 0.5000 0.7443  3 U 2.74, 1 Er 2.82, 2 Li 2.83
P 0.7454 0.0000 0.2481  3 U 2.77, 1 Li 2.79, 2 Er 2.80

- Uncorrected energy: -7.29 eV/atom
- Energy of formation: -0.950 eV per atom


2.
This record from Alexandria describes CaY3Nb after structural relaxation. The functional is PBE.

Cell: 5.5615 5.5615 5.5615 Å, 90.00 90.00 90.00°
Last column: nearest neighbours and their distance in Å.
Fractional coordinates of all 5 atoms:
Ca 0.0000 0.0000 0.0000  12 Y 3.93
Y 0.0000 0.5000 0.5000  2 Nb 2.78
Y 0.5000 0.0000 0.5000  2 Nb 2.78
Y 0.5000 0.5000 0.0000  2 Nb 2.78
Nb 0.5000 0.5000 0.5000  6 Y 2.78

- Uncorrected energy: -5.90 eV/atom
- Energy of formation: 0.398 eV per atom